1.
19
Lattice="-3.483 1.382 -5.906 6.193 -2.709 -1.797 -3.550 -4.961 3.422" Properties=species:S:1:pos:R:3 comment="V12Ge6Ir, relaxed, DFT PBE" magmom_total_mub_per_atom=0.000 formation_enthalpy_0k_ev_per_atom=-0.071 space_group="No. 148" e_tot_ev_per_atom=-7.754 pbc="T T T"
V -1.133 -3.368 -5.130
V -5.059 -2.304 -3.541
V -4.044 -4.096 1.045
V 4.219 -3.984 -0.740
V 0.293 -2.920 0.849
V 1.561 -0.810 -2.498
V -2.477 -0.933 -1.526
V 0.397 -6.421 1.435
V -1.237 0.132 -5.716
V -2.400 -5.478 -1.783
V 1.637 -5.355 -2.756
V 3.204 -2.192 -5.327
Ge 0.096 -5.039 -0.678
Ge -0.935 -1.249 -3.603
Ge 1.169 -2.927 -3.992
Ge -2.749 -3.148 -2.898
Ge -2.009 -3.361 -0.290
Ge 1.909 -3.140 -1.384
Ir 0.000 0.000 0.000

2.
10
Lattice="4.133 0.000 0.000 0.000 4.133 0.000 0.000 0.000 10.517" Properties=species:S:1:pos:R:3 comment="Y2VGe3Ir4, relaxed, DFT PBE" magmom_total_mub_per_atom=0.080 formation_enthalpy_0k_ev_per_atom=-0.736 space_group="No. 115" e_tot_ev_per_atom=-7.870 pbc="T T T"
Ge 0.000 0.000 5.259
Ge 2.067 0.000 9.127
Ge 0.000 2.067 1.391
Ir 2.067 0.000 6.680
Ir 2.067 2.067 0.000
Ir 0.000 0.000 0.000
Ir 0.000 2.067 3.838
Y 2.067 0.000 2.589
Y 0.000 2.067 7.929
V 2.067 2.067 5.259

3.
5
Lattice="4.582 0.000 0.000 0.000 4.532 0.000 0.000 0.000 4.582" Properties=species:S:1:pos:R:3 comment="V2ZnGeIr, relaxed, DFT PBE" magmom_total_mub_per_atom=0.817 formation_enthalpy_0k_ev_per_atom=0.914 space_group="No. 123" e_tot_ev_per_atom=-5.684 pbc="T T T"
V 0.000 0.000 2.291
V 2.291 0.000 0.000
Ge 0.000 0.000 0.000
Ir 0.000 2.266 0.000
Zn 2.291 2.266 2.291